DFT (PBE) results for a relaxed structure of Tb2EuHo.

a b c (Å): 12.7062 12.7062 12.7062
angles (deg): 16.01 16.01 16.01
With the nearest neighbours (Å) after each atom.
Fractional coordinates of all 4 atoms:
1 Tb 0.0914 0.0914 0.0914  1 Eu 3.44, 3 Ho 3.49, 6 Tb 3.54
2 Tb 0.9086 0.9086 0.9086  1 Eu 3.44, 3 Ho 3.49, 6 Tb 3.54
3 Eu 0.0000 0.0000 0.0000  2 Tb 3.44, 6 Eu 3.54
4 Ho 0.5000 0.5000 0.5000  6 Tb 3.49, 6 Ho 3.54

Output
Space-group type   R-3m, No. 166
V   136 Å³/cell
Energy of formation from the pure elements   0.153 eV per atom
E_tot   -5.875 eV/atom


DFT (PBE) results for a relaxed structure of SrZn2CoSi.

a b c (Å): 4.7033 4.7033 4.3836
angles (deg): 90.00 90.00 90.00
With the nearest neighbours (Å) after each atom.
Fractional coordinates of all 5 atoms:
1 Sr 0.0000 0.0000 0.0000  8 Zn 3.21, 4 Si 3.33
2 Zn 0.0000 0.5000 0.5000  2 Co 2.35
3 Zn 0.5000 0.0000 0.5000  2 Co 2.35
4 Co 0.5000 0.5000 0.5000  2 Si 2.19, 4 Zn 2.35
5 Si 0.5000 0.5000 0.0000  2 Co 2.19

Output
Space-group type   P4/mmm, No. 123
Formation energy (no corrections)   -0.220 eV per atom
V   97 Å³/cell
E_tot   -3.571 eV/atom


DFT (PBE) results for a relaxed structure of Li5PaTe6.

a b c (Å): 7.8437 7.8437 7.1350
angles (deg): 102.49 102.49 126.12
With the nearest neighbours (Å) after each atom.
Fractional coordinates of all 12 atoms:
1 Li 0.0000 0.0000 0.0000  6 Te 2.92-3.05
2 Li 0.1645 0.8355 0.5000  6 Te 2.94-3.05
3 Li 0.3342 0.6658 0.0000  6 Te 2.94-3.08
4 Li 0.6658 0.3342 0.0000  6 Te 2.94-3.08
5 Li 0.8355 0.1645 0.5000  6 Te 2.94-3.05
6 Pa 0.5000 0.5000 0.5000  6 Te 2.99-3.07
7 Te 0.0753 0.4082 0.2443  5 Li 2.92-3.08, 1 Pa 2.99
8 Te 0.2498 0.2498 0.7516  5 Li 2.94-3.05, 1 Pa 3.07
9 Te 0.4082 0.0753 0.2443  5 Li 2.92-3.08, 1 Pa 2.99
10 Te 0.5918 0.9247 0.7557  5 Li 2.92-3.08, 1 Pa 2.99
11 Te 0.7502 0.7502 0.2484  5 Li 2.94-3.05, 1 Pa 3.07
12 Te 0.9247 0.5918 0.7557  5 Li 2.92-3.08, 1 Pa 2.99

Output
Space-group type   C2/m, No. 12
Formation energy (no corrections)   -0.796 eV per atom
V   312 Å³/cell
E_tot   -3.955 eV/atom


Question: Number 1 is which compound?
Answer: Tb2EuHo


Question: What is the E_tot in the third record?
Answer: -3.955 eV/atom